Computed, not measured: crystalline Pr3NiGe at its relaxed geometry at the GGA-PBE level of DFT.

Computed properties:
Density ... 6.80 g/cm3
Crystal system ... monoclinic
VASP energy ... -5.36 eV per atom
Energy of formation ... -0.42 eV per atom
D(E_F) ... 11.04 states/eV/cell
Symmetry ... Cm (8)

Lattice parameters (Å, degrees): 7.963 7.963 8.343 90.16 90.16 30.75
Positions (direct):
Pr 0.000 0.000 0.000
Pr 0.149 0.149 0.641
Pr 0.360 0.360 0.750
Pr 0.510 0.510 0.391
Pr 0.713 0.713 0.016
Pr 0.797 0.797 0.375
Ni 0.542 0.542 0.753
Ni 0.967 0.967 0.637
Ge 0.144 0.144 0.265
Ge 0.365 0.365 0.126

Computed, not measured: crystalline PrNiGe2 at its relaxed geometry at the GGA-PBE level of DFT.

Computed properties:
Density ... 7.42 g/cm3
Crystal system ... trigonal
VASP energy ... -5.61 eV per atom
Energy of formation ... -0.66 eV per atom
D(E_F) ... 1.25 states/eV/cell
Symmetry ... R-3m (166)

Lattice parameters (Å, degrees): 5.863 5.863 5.863 40.67 40.67 40.67
Positions (direct):
Pr 0.000 0.000 0.000
Ni 0.500 0.500 0.500
Ge 0.214 0.214 0.214
Ge 0.786 0.786 0.786

Computed, not measured: crystalline Pr2Ni2Ge3 at its relaxed geometry at the GGA-PBE level of DFT.

Computed properties:
Density ... 7.56 g/cm3
Energy above the lowest structure with this stoichiometry ... 127 meV/atom
Crystal system ... monoclinic
VASP energy ... -5.53 eV per atom
Energy of formation ... -0.54 eV per atom
D(E_F) ... 5.53 states/eV/cell
Symmetry ... C2/m (12)

Lattice parameters (Å, degrees): 5.533 5.533 6.781 109.57 109.57 44.49
Positions (direct):
Pr 0.149 0.149 0.285
Pr 0.851 0.851 0.715
Ni 0.148 0.148 0.776
Ni 0.852 0.852 0.224
Ge 0.385 0.385 0.060
Ge 0.500 0.500 0.500
Ge 0.615 0.615 0.940

Computed, not measured: crystalline Pr2NiGe at its relaxed geometry at the GGA-PBE level of DFT.

Computed properties:
Density ... 5.69 g/cm3
Crystal system ... trigonal
VASP energy ... -4.86 eV per atom
Energy of formation ... 0.13 eV per atom
D(E_F) ... 2.75 states/eV/cell
Symmetry ... R-3m (166)

Lattice parameters (Å, degrees): 9.725 9.725 9.725 22.73 22.73 22.73
Positions (direct):
Pr 0.106 0.106 0.106
Pr 0.894 0.894 0.894
Ni 0.500 0.500 0.500
Ge 0.000 0.000 0.000

Computed, not measured: crystalline Pr2Ni5Ge3 at its relaxed geometry at the GGA-PBE level of DFT.

Computed properties:
Density ... 7.60 g/cm3
Energy above the lowest structure with this stoichiometry ... 116 meV/atom
Crystal system ... orthorhombic
VASP energy ... -5.66 eV per atom
Energy of formation ... -0.43 eV per atom
D(E_F) ... 13.88 states/eV/cell
Symmetry ... Cmc2_1 (36)

Lattice parameters (Å, degrees): 13.076 13.076 6.618 90.00 90.00 162.16
Positions (direct):
Pr 0.022 0.978 0.500
Pr 0.325 0.675 0.509
Pr 0.675 0.325 0.009
Pr 0.978 0.022 0.000
Ni 0.085 0.915 0.053
Ni 0.210 0.790 0.646
Ni 0.233 0.767 0.265
Ni 0.371 0.629 0.006
Ni 0.429 0.571 0.321
Ni 0.571 0.429 0.821
Ni 0.629 0.371 0.506
Ni 0.767 0.233 0.765
Ni 0.790 0.210 0.146
Ni 0.915 0.085 0.553
Ge 0.121 0.879 0.722
Ge 0.276 0.724 0.949
Ge 0.436 0.564 0.704
Ge 0.564 0.436 0.204
Ge 0.724 0.276 0.449
Ge 0.879 0.121 0.222

Computed, not measured: crystalline Pr3Ni3Ge at its relaxed geometry at the GGA-PBE level of DFT.

Computed properties:
Density ... 7.41 g/cm3
Crystal system ... monoclinic
VASP energy ... -5.61 eV per atom
Energy of formation ... -0.42 eV per atom
D(E_F) ... 12.60 states/eV/cell
Symmetry ... C2/m (12)

Lattice parameters (Å, degrees): 5.747 5.747 14.441 109.10 109.10 42.32
Positions (direct):
Pr 0.029 0.029 0.386
Pr 0.103 0.103 0.923
Pr 0.247 0.247 0.230
Pr 0.753 0.753 0.770
Pr 0.897 0.897 0.077
Pr 0.971 0.971 0.614
Ni 0.359 0.359 0.461
Ni 0.398 0.398 0.924
Ni 0.448 0.448 0.768
Ni 0.552 0.552 0.232
Ni 0.602 0.602 0.076
Ni 0.641 0.641 0.539
Ge 0.256 0.256 0.602
Ge 0.744 0.744 0.398

Computed, not measured: crystalline PrNi4Ge4 at its relaxed geometry at the GGA-PBE level of DFT.

Computed properties:
Density ... 7.35 g/cm3
Crystal system ... tetragonal
VASP energy ... -5.50 eV per atom
Energy of formation ... -0.34 eV per atom
D(E_F) ... 4.70 states/eV/cell
Symmetry ... I4/m (87)

Lattice parameters (Å, degrees): 6.179 6.179 6.179 97.86 97.86 136.60
Positions (direct):
Pr 0.000 0.000 0.000
Ni 0.185 0.330 0.515
Ni 0.330 0.815 0.145
Ni 0.670 0.185 0.855
Ni 0.815 0.670 0.485
Ge 0.126 0.616 0.742
Ge 0.384 0.126 0.509
Ge 0.616 0.874 0.491
Ge 0.874 0.384 0.258

Computed, not measured: crystalline Pr2NiGe at its relaxed geometry at the GGA-PBE level of DFT.

Computed properties:
Density ... 7.21 g/cm3
Crystal system ... tetragonal
VASP energy ... -5.39 eV per atom
Energy of formation ... -0.40 eV per atom
D(E_F) ... 2.48 states/eV/cell
Symmetry ... P4/mmm (123)

Lattice parameters (Å, degrees): 3.566 3.566 7.479 90.00 90.00 90.00
Positions (direct):
Pr 0.000 0.000 0.237
Pr 0.000 0.000 0.763
Ni 0.500 0.500 0.000
Ge 0.500 0.500 0.500

What did the fourth record say?
Computed, not measured: crystalline Pr2NiGe at its relaxed geometry at the GGA-PBE level of DFT.

Computed properties:
Density ... 5.69 g/cm3
Crystal system ... trigonal
VASP energy ... -4.86 eV per atom
Energy of formation ... 0.13 eV per atom
D(E_F) ... 2.75 states/eV/cell
Symmetry ... R-3m (166)

Lattice parameters (Å, degrees): 9.725 9.725 9.725 22.73 22.73 22.73
Positions (direct):
Pr 0.106 0.106 0.106
Pr 0.894 0.894 0.894
Ni 0.500 0.500 0.500
Ge 0.000 0.000 0.000

Please write out number 3 again, unchanged.
Computed, not measured: crystalline Pr2Ni2Ge3 at its relaxed geometry at the GGA-PBE level of DFT.

Computed properties:
Density ... 7.56 g/cm3
Energy above the lowest structure with this stoichiometry ... 127 meV/atom
Crystal system ... monoclinic
VASP energy ... -5.53 eV per atom
Energy of formation ... -0.54 eV per atom
D(E_F) ... 5.53 states/eV/cell
Symmetry ... C2/m (12)

Lattice parameters (Å, degrees): 5.533 5.533 6.781 109.57 109.57 44.49
Positions (direct):
Pr 0.149 0.149 0.285
Pr 0.851 0.851 0.715
Ni 0.148 0.148 0.776
Ni 0.852 0.852 0.224
Ge 0.385 0.385 0.060
Ge 0.500 0.500 0.500
Ge 0.615 0.615 0.940

Question: Among the records above, which one has the lowest VASP energy?
Answer: Pr2Ni5Ge3